[1]
PrNdSn2Au2 | PBE-GGA | optimized geometry

a b c (Å): 4.786 4.786 7.696
angles (deg): 90.00 90.00 120.00
Atoms (fractional coordinates):
Pr: 0.000 0.000 0.000
Nd: 0.000 0.000 0.500
Sn: 0.333 0.667 0.775
Sn: 0.667 0.333 0.277
Au: 0.333 0.667 0.190
Au: 0.667 0.333 0.684

Values from the calculation:
* spin magnetization: 0.002 μB/cell
* VASP energy: -29.11 eV per cell


[2]
Nd2PtAu | PBE-GGA | optimized geometry

a b c (Å): 4.711 5.808 7.370
angles (deg): 90.00 90.00 90.00
Atoms (fractional coordinates):
Nd: 0.000 0.101 0.000
Nd: 0.000 0.899 0.500
Nd: 0.500 0.383 0.370
Nd: 0.500 0.617 0.870
Pt: 0.500 0.098 0.728
Pt: 0.500 0.902 0.228
Au: 0.000 0.404 0.646
Au: 0.000 0.596 0.146

Values from the calculation:
* ΔH_f (0 K): -0.983 eV/atom
* spin magnetization: 0.006 μB/cell
* VASP energy: -45.56 eV per cell


[3]
Nd4PtAu3 | PBE-GGA | optimized geometry

a b c (Å): 5.824 4.757 7.426
angles (deg): 90.00 90.54 90.00
Atoms (fractional coordinates):
Nd: 0.000 0.000 0.000
Nd: 0.207 0.000 0.515
Nd: 0.495 0.500 0.874
Nd: 0.716 0.500 0.382
Pt: 0.010 0.500 0.734
Au: 0.207 0.500 0.234
Au: 0.506 0.000 0.154
Au: 0.702 0.000 0.651

Values from the calculation:
* ΔH_f (0 K): -0.901 eV/atom
* spin magnetization: 0.000 μB/cell
* VASP energy: -42.12 eV per cell


[4]
Nd2PtAu | PBE-GGA | optimized geometry

a b c (Å): 5.891 4.664 7.835
angles (deg): 90.00 110.22 90.00
Atoms (fractional coordinates):
Nd: 0.219 0.250 0.435
Nd: 0.232 0.250 0.926
Nd: 0.768 0.750 0.074
Nd: 0.781 0.750 0.565
Pt: 0.326 0.750 0.707
Pt: 0.674 0.250 0.293
Au: 0.323 0.750 0.207
Au: 0.677 0.250 0.793

Values from the calculation:
* ΔH_f (0 K): -0.983 eV/atom
* spin magnetization: 0.003 μB/cell
* VASP energy: -45.56 eV per cell


[5]
Nd2PtAu | PBE-GGA | optimized geometry

a b c (Å): 5.781 4.710 7.408
angles (deg): 90.00 91.07 90.00
Atoms (fractional coordinates):
Nd: 0.140 0.250 0.303
Nd: 0.355 0.250 0.827
Nd: 0.645 0.750 0.173
Nd: 0.860 0.750 0.697
Pt: 0.157 0.750 0.043
Pt: 0.843 0.250 0.957
Au: 0.350 0.750 0.541
Au: 0.650 0.250 0.459

Values from the calculation:
* ΔH_f (0 K): -0.994 eV/atom
* spin magnetization: 0.017 μB/cell
* VASP energy: -45.65 eV per cell


[6]
Nd2PtAu | PBE-GGA | optimized geometry

a b c (Å): 4.695 7.386 5.822
angles (deg): 90.00 90.00 90.00
Atoms (fractional coordinates):
Nd: 0.000 0.061 0.000
Nd: 0.000 0.570 0.785
Nd: 0.500 0.430 0.285
Nd: 0.500 0.939 0.500
Pt: 0.000 0.209 0.486
Pt: 0.500 0.791 0.986
Au: 0.000 0.708 0.292
Au: 0.500 0.292 0.792

Values from the calculation:
* ΔH_f (0 K): -0.984 eV/atom
* spin magnetization: 0.006 μB/cell
* VASP energy: -45.56 eV per cell


[7]
Nd3Pt8Au | PBE-GGA | optimized geometry

a b c (Å): 9.470 9.470 9.470
angles (deg): 33.47 33.47 33.47
Atoms (fractional coordinates):
Nd: 0.000 0.000 0.000
Nd: 0.130 0.130 0.130
Nd: 0.519 0.519 0.519
Pt: 0.071 0.071 0.566
Pt: 0.071 0.566 0.071
Pt: 0.071 0.571 0.571
Pt: 0.320 0.320 0.320
Pt: 0.566 0.071 0.071
Pt: 0.571 0.071 0.571
Pt: 0.571 0.571 0.071
Pt: 0.820 0.820 0.820
Au: 0.638 0.638 0.638

Values from the calculation:
* ΔH_f (0 K): -0.921 eV/atom
* spin magnetization: 0.008 μB/cell
* VASP energy: -77.06 eV per cell


[8]
Nd2PtAu | PBE-GGA | optimized geometry

a b c (Å): 4.710 3.920 10.948
angles (deg): 90.00 90.00 90.00
Atoms (fractional coordinates):
Nd: 0.000 0.000 0.000
Nd: 0.000 0.500 0.500
Nd: 0.500 0.000 0.274
Nd: 0.500 0.500 0.774
Pt: 0.500 0.000 0.550
Pt: 0.500 0.500 0.050
Au: 0.000 0.000 0.721
Au: 0.000 0.500 0.221

Values from the calculation:
* ΔH_f (0 K): -0.973 eV/atom
* spin magnetization: 0.010 μB/cell
* VASP energy: -45.48 eV per cell


Question: What is the spin magnetization in the fifth record?
Answer: 0.017 μB/cell


Question: Look up the spin magnetization of the third one.
Answer: 0.000 μB/cell